DFT (PBE) results for crystalline ThScAlRe at its relaxed geometry.

## Properties
M_tot = 0.00 μB per cell
ΔH_f (0 K) = -0.084 eV per atom
Mass density = 9.56 g/cm3
Electronic total energy = -7.569 eV/atom

```
data_ThScAlRe
_symmetry_space_group_name_H-M 'F -4 3 m'
_symmetry_Int_Tables_number 216
_symmetry_space_group_name_Hall 'F -4 2 3'
_cell_length_a 6.984
_cell_length_b 6.984
_cell_length_c 6.984
_cell_angle_alpha 90.00
_cell_angle_beta 90.00
_cell_angle_gamma 90.00
loop_
_atom_site_label
_atom_site_fract_x
_atom_site_fract_y
_atom_site_fract_z
Th1 0.000 0.000 0.000
Sc1 0.000 0.000 0.500
Al1 0.250 0.250 0.750
Re1 0.250 0.250 0.250
```